{
  "formula": "Mg2AlOs",
  "functional": "PBE-GGA",
  "state": "relaxed",
  "e_form_kj_per_mol_atoms": -7,
  "sg": "Imm2",
  "lattice": [[3.417, 0.000, 0.000], [0.000, 4.407, 0.000], [0.000, 0.000, 8.664]],
  "species": ["Mg", "Mg", "Mg", "Mg", "Al", "Al", "Os", "Os"],
  "frac_coords": [[0.000, 0.000, 0.000], [0.000, 0.500, 0.234], [0.500, 0.000, 0.734], [0.500, 0.500, 0.500], [0.000, 0.000, 0.469], [0.500, 0.500, 0.969], [0.000, 0.500, 0.752], [0.500, 0.000, 0.252]]
}

***

{
  "formula": "NdY2Pt",
  "functional": "PBE-GGA",
  "state": "relaxed",
  "e_form_kj_per_mol_atoms": -51,
  "polymorph_energy_mev_per_atom": 153,
  "sg": "R3m",
  "lattice": [[3.970, 0.000, 0.000], [-1.985, 3.438, 0.000], [0.000, 0.000, 27.280]],
  "species": ["Nd", "Nd", "Nd", "Y", "Y", "Y", "Y", "Y", "Y", "Pt", "Pt", "Pt"],
  "frac_coords": [[0.000, 0.000, 0.000], [0.333, 0.667, 0.667], [0.667, 0.333, 0.333], [0.000, 0.000, 0.557], [0.000, 0.000, 0.771], [0.333, 0.667, 0.224], [0.333, 0.667, 0.438], [0.667, 0.333, 0.105], [0.667, 0.333, 0.891], [0.000, 0.000, 0.164], [0.333, 0.667, 0.830], [0.667, 0.333, 0.497]]
}

***

{
  "formula": "NaErZnHg",
  "functional": "PBE-GGA",
  "state": "relaxed",
  "e_form_kj_per_mol_atoms": -17,
  "sg": "F-43m",
  "lattice": [[7.145, 0.000, 0.000], [0.000, 7.145, 0.000], [0.000, 0.000, 7.145]],
  "species": ["Na", "Na", "Na", "Na", "Er", "Er", "Er", "Er", "Zn", "Zn", "Zn", "Zn", "Hg", "Hg", "Hg", "Hg"],
  "frac_coords": [[0.000, 0.000, 0.000], [0.000, 0.500, 0.500], [0.500, 0.000, 0.500], [0.500, 0.500, 0.000], [0.000, 0.000, 0.500], [0.000, 0.500, 0.000], [0.500, 0.000, 0.000], [0.500, 0.500, 0.500], [0.250, 0.250, 0.750], [0.250, 0.750, 0.250], [0.750, 0.250, 0.250], [0.750, 0.750, 0.750], [0.250, 0.250, 0.250], [0.250, 0.750, 0.750], [0.750, 0.250, 0.750], [0.750, 0.750, 0.250]]
}

***

What is the formula in the first record? Mg2AlOs